This record from Alexandria describes crystalline Cs2VH2O2F4 at its relaxed geometry. The functional is GGA+U.

Unit cell a=6.559 b=7.121 c=8.628 alpha=88.64 beta=67.66 gamma=86.42
Last column: magnetic moment on the atom in μB.
Element x y z (fractional)
F 0.354 0.403 0.787  0.01
F 0.766 0.479 0.778  0.00
F 0.646 0.597 0.213  0.01
F 0.141 0.903 0.213  0.01
F 0.544 0.979 0.222  0.00
F 0.859 0.097 0.787  0.01
F 0.456 0.021 0.778  0.00
F 0.234 0.521 0.222  0.00
H 0.502 0.859 0.900  0.00
H 0.597 0.641 0.900  0.00
H 0.403 0.359 0.100  0.00
H 0.498 0.141 0.100  0.00
Cs 0.245 0.250 0.510  0.00
Cs 0.755 0.750 0.490  0.00
Cs 0.056 0.750 0.887  0.00
Cs 0.944 0.250 0.113  0.00
V 0.627 0.250 0.747  1.07
V 0.373 0.750 0.253  1.07
O 0.731 0.250 0.538  -0.11
O 0.486 0.250 0.028  0.00
O 0.269 0.750 0.462  -0.11
O 0.514 0.750 0.972  0.00

final energy: -5.2807 eV/atom